First-principles (PBE) data for a relaxed BeCO crystal, as listed in the Alexandria database.

abc: 4.389 2.564 9.778
angles: 90.00 92.65 90.00
Atoms (fractional coordinates):
1 Be 0.066 0.000 0.441
2 Be 0.066 0.500 0.941
3 Be 0.240 0.000 0.714
4 Be 0.240 0.500 0.214
5 C 0.719 0.000 0.122
6 C 0.719 0.500 0.622
7 C 0.863 0.000 0.594
8 C 0.863 0.500 0.094
9 O 0.138 0.000 0.866
10 O 0.138 0.500 0.366
11 O 0.445 0.000 0.179
12 O 0.445 0.500 0.679

## Properties
* space group: Cm (8)

***

First-principles (PBE) data for a relaxed Li2CeTlI8 crystal, as listed in the Alexandria database.

abc: 7.694 6.496 9.991
angles: 89.89 89.98 90.15
Site moments in Bohr magnetons follow the coordinates.
Atoms (fractional coordinates):
1 Li 0.500 0.501 0.787  0.00
2 Li 0.500 0.499 0.213  0.00
3 Ce 0.000 0.000 0.000  0.32
4 Tl 0.000 0.000 0.500  0.00
5 I 0.162 0.743 0.221  -0.01
6 I 0.660 0.747 0.000  -0.01
7 I 0.838 0.257 0.220  -0.01
8 I 0.838 0.257 0.779  -0.01
9 I 0.340 0.253 0.000  -0.01
10 I 0.162 0.743 0.780  -0.01
11 I 0.531 0.749 0.500  0.00
12 I 0.469 0.251 0.500  0.00

## Properties
* space group: P-1 (2)
* D(E_F): 1.83 states/eV/cell

***

First-principles (PBE) data for a relaxed Mn2TlSe crystal, as listed in the Alexandria database.

abc: 4.767 4.767 3.478
angles: 90.00 90.00 99.97
Site moments in Bohr magnetons follow the coordinates.
Atoms (fractional coordinates):
1 Mn 0.000 0.000 0.000  3.84
2 Mn 0.500 0.500 0.000  3.84
3 Se 0.500 0.000 0.500  0.04
4 Tl 0.000 0.500 0.500  -0.04

## Properties
* space group: Cmmm (65)
* D(E_F): 3.08 states/eV/cell

***

First-principles (PBE) data for a relaxed K2Zr2AgTe6 crystal, as listed in the Alexandria database.

abc: 7.293 7.293 8.860
angles: 97.55 97.55 120.84
Atoms (fractional coordinates):
1 K 0.838 0.162 0.000
2 K 0.162 0.838 0.000
3 Zr 0.332 0.668 0.500
4 Zr 0.668 0.332 0.500
5 Ag 0.000 0.000 0.500
6 Te 0.720 0.720 0.697
7 Te 0.066 0.410 0.699
8 Te 0.280 0.280 0.303
9 Te 0.410 0.066 0.699
10 Te 0.934 0.590 0.301
11 Te 0.590 0.934 0.301

## Properties
* space group: C2/m (12)
* D(E_F): 6.04 states/eV/cell

***

| no. | ΔE_f (raw) (meV/atom) |
| --- | --- |
| 1 | -1313 |
| 2 | -921 |
| 3 | 351 |
| 4 | -749 |